(1)
A plane-wave DFT calculation with GGA-PBE was carried out for crystalline TaAlSb2 at its relaxed geometry. Values from VASP.

```
&SYSTEM
  ibrav = 0, nat = 4, ntyp = 3
/
ATOMIC_SPECIES
Ta 180.95 Ta.upf
Sb 121.76 Sb.upf
Al 26.98 Al.upf
CELL_PARAMETERS angstrom
4.965 0.000 0.000
2.483 4.300 0.000
2.483 1.433 4.054
ATOMIC_POSITIONS crystal
Ta 0.750 0.750 0.750
Sb 0.000 0.000 0.000
Al 0.500 0.500 0.500
Sb 0.250 0.250 0.250
```

Values from the calculation:
Energy relative to the elements, uncorrected (eV/f.u.): 2.4
Space group: No. 216
Crystal system: cubic

(2)
A plane-wave DFT calculation with GGA-PBE was carried out for crystalline Ta2AlSb at its relaxed geometry. Values from VASP.

```
&SYSTEM
  ibrav = 0, nat = 4, ntyp = 3
/
ATOMIC_SPECIES
Ta 180.95 Ta.upf
Sb 121.76 Sb.upf
Al 26.98 Al.upf
CELL_PARAMETERS angstrom
-1.138 -3.969 -3.144
0.944 -2.273 -4.569
3.570 -3.234 1.366
ATOMIC_POSITIONS crystal
Ta 0.997 0.997 0.020
Sb 0.249 0.249 0.230
Ta 0.755 0.755 0.722
Al 0.499 0.499 0.528
```

Values from the calculation:
Energy relative to the elements, uncorrected (eV/f.u.): 0.3
Space group: No. 8
Crystal system: monoclinic
Offset from the most stable computed form (eV per atom): 0.188

(3)
A plane-wave DFT calculation with GGA-PBE was carried out for crystalline Ta2AlSb at its relaxed geometry. Values from VASP.

```
&SYSTEM
  ibrav = 0, nat = 4, ntyp = 3
/
ATOMIC_SPECIES
Ta 180.95 Ta.upf
Al 26.98 Al.upf
Sb 121.76 Sb.upf
CELL_PARAMETERS angstrom
-0.275 -2.926 3.675
-3.205 -3.445 0.030
1.359 -4.482 -0.454
ATOMIC_POSITIONS crystal
Ta 0.250 0.250 0.250
Ta 0.750 0.750 0.750
Al 0.000 0.000 0.000
Sb 0.500 0.500 0.500
```

Values from the calculation:
Energy relative to the elements, uncorrected (eV/f.u.): 1.0
Space group: No. 225
Crystal system: cubic
Offset from the most stable computed form (eV per atom): 0.354